Entry from Alexandria: a relaxed structure of PmErCCl (PBE).

a b c (Å): 7.302 7.302 7.302
angles (deg): 29.00 29.00 29.00
Fractional positions:
Pm (0.000, 0.000, 0.000)
Er (0.792, 0.792, 0.792)
C (0.402, 0.402, 0.402)
Cl (0.224, 0.224, 0.224)

Results
As for the uncorrected formation energy: -1.07 eV/atom. Its crystal system is trigonal. The space group is R3m. The electronic total energy comes out at -24.66 eV/cell.